DFT (PBE with a Hubbard U) results for crystalline Ta2FeAsO at its relaxed geometry.

For the density of states at the Fermi level, the calculation gives 3.32 states/eV/f.u. The size of the total moment comes out at 2.60 μB per formula unit. The electronic total energy is -7.96 eV per atom.

The space group is P4/mmm (No. 123) and the conventional cell measures 4.217, 4.217 and 4.119 Å, with angles of 90.00, 90.00 and 90.00 degrees. The inequivalent atoms are Ta at (0.000, 0.500, 0.000), Fe at (0.000, 0.000, 0.500), As at (0.500, 0.500, 0.500) and O at (0.000, 0.000, 0.000).